DFT (PBE) results for crystalline PaZnIr at its relaxed geometry.

```
PaZnIr
1.0
2.272 1.312 3.710
-2.272 1.312 3.710
0.000 -2.624 3.710
Ir Pa Zn
1 1 1
direct
0.000 0.000 0.000
0.750 0.750 0.750
0.250 0.250 0.250
```

## Properties
Raw total energy in eV per atom: -6.928
Calculated formation energy in kJ/mol of formula units: -113
SG: No. 216

---

DFT (PBE) results for crystalline BeTcGe2 at its relaxed geometry.

```
BeTcGe2
1.0
2.168 1.252 3.540
-2.168 1.252 3.540
0.000 -2.503 3.540
Be Ge Tc
1 2 1
direct
0.250 0.250 0.250
0.500 0.500 0.500
0.750 0.750 0.750
0.000 0.000 0.000
```

## Properties
Raw total energy in eV per atom: -5.288
SG: No. 216

---

DFT (PBE) results for crystalline Y3Sc3Te2Ir at its relaxed geometry.

```
Y3Sc3Te2Ir
1.0
7.977 0.000 0.000
-3.989 6.908 0.000
0.000 0.000 3.976
Ir Sc Te Y
1 3 2 3
direct
0.000 0.000 0.000
0.767 0.000 0.500
0.233 0.233 0.500
0.000 0.767 0.500
0.667 0.333 0.500
0.333 0.667 0.500
0.393 0.000 0.000
0.000 0.393 0.000
0.607 0.607 0.000
```

## Properties
Raw total energy in eV per atom: -6.847
Offset from the most stable computed form in meV per atom: 0.0
SG: No. 189

---

DFT (PBE) results for crystalline GdEr2Sn3Pt3 at its relaxed geometry.

```
GdEr2Sn3Pt3
1.0
4.020 0.000 0.000
0.000 6.507 3.743
0.000 -6.507 3.743
Er Gd Pt Sn
2 1 3 3
direct
0.000 0.595 0.000
0.000 0.000 0.595
0.000 0.406 0.406
0.500 0.670 0.332
0.500 0.332 0.670
0.000 0.997 0.997
0.500 0.999 0.259
0.500 0.741 0.741
0.500 0.259 0.999
```

## Properties
Raw total energy in eV per atom: -5.978
SG: No. 38

---

DFT (PBE) results for crystalline CdBiMo4C2 at its relaxed geometry.

```
CdBiMo4C2
1.0
-0.998 0.198 -3.012
-2.083 -0.586 2.329
-2.104 13.891 1.611
Bi C Cd Mo
1 2 1 4
direct
0.667 0.333 0.500
0.333 0.667 0.248
0.333 0.667 0.752
0.000 0.000 0.000
0.667 0.333 0.170
0.000 0.000 0.324
0.000 0.000 0.676
0.667 0.333 0.830
```

## Properties
Raw total energy in eV per atom: -8.166
SG: No. 187

---

DFT (PBE) results for crystalline TmLuZn2Sn2 at its relaxed geometry.

```
TmLuZn2Sn2
1.0
4.473 0.000 0.000
-2.237 3.874 0.000
0.000 0.000 15.512
Lu Sn Tm Zn
2 4 2 4
direct
0.000 0.000 0.250
0.000 0.000 0.750
0.333 0.667 0.112
0.333 0.667 0.388
0.667 0.333 0.612
0.667 0.333 0.888
0.000 0.000 0.000
0.000 0.000 0.500
0.667 0.333 0.162
0.667 0.333 0.338
0.333 0.667 0.662
0.333 0.667 0.838
```

## Properties
Raw total energy in eV per atom: -3.767
Offset from the most stable computed form in meV per atom: 0.0
SG: No. 194

---

DFT (PBE) results for crystalline Ba2Sn2Pd3 at its relaxed geometry.

```
Ba2Sn2Pd3
1.0
3.161 -3.207 -9.827
5.227 -6.322 -7.039
0.771 -6.901 -8.284
Ba Pd Sn
2 3 2
direct
0.250 0.250 0.250
0.756 0.756 0.756
0.354 0.354 0.354
0.654 0.654 0.654
0.855 0.855 0.855
0.004 0.004 0.004
0.503 0.503 0.503
```

## Properties
Raw total energy in eV per atom: -4.537
SG: No. 160

---

DFT (PBE) results for crystalline FeIr6Os at its relaxed geometry.

```
FeIr6Os
1.0
5.480 0.000 0.000
-2.740 4.746 0.000
0.000 0.000 4.379
Fe Ir Os
1 6 1
direct
0.000 0.000 0.000
0.501 0.003 0.000
0.501 0.499 0.000
0.997 0.499 0.000
0.166 0.332 0.500
0.166 0.834 0.500
0.668 0.834 0.500
0.667 0.333 0.500
```

## Properties
Raw total energy in eV per atom: -9.113
Calculated formation energy in kJ/mol of formula units: -23
SG: No. 187

---

The records above yield V values of 66.4 57.6 219.1 195.8 123.8 268.8 197.2 113.9 Å³ per cell, respectively.